#P
Cr2AsO | the Alexandria database | GGA+U | relaxed; N(E_F) = 3.4 states/eV/cell; SG = Fm-3m (225)
1.0
6.0946 0.0000 0.0000
0.0000 6.0946 0.0000
0.0000 0.0000 6.0946
Cr As O
8 4 4
Cartesian
1.5237 1.5237 1.5237 Cr
1.5237 1.5237 4.5710 Cr
1.5237 4.5710 1.5237 Cr
1.5237 4.5710 4.5710 Cr
4.5710 1.5237 1.5237 Cr
4.5710 1.5237 4.5710 Cr
4.5710 4.5710 1.5237 Cr
4.5710 4.5710 4.5710 Cr
0.0000 0.0000 0.0000 As
0.0000 3.0473 3.0473 As
3.0473 0.0000 3.0473 As
3.0473 3.0473 0.0000 As
0.0000 0.0000 3.0473 O
0.0000 3.0473 0.0000 O
3.0473 0.0000 0.0000 O
3.0473 3.0473 3.0473 O

***

#Q
Cr2AsO | the Alexandria database | GGA+U | relaxed; N(E_F) = 4.4 states/eV/cell; SG = I-42d (122)
1.0
5.9627 0.0000 0.0000
0.0000 5.9627 0.0000
0.0000 0.0000 7.2467
Cr As O
8 4 4
Cartesian
1.0426 4.4720 0.9058 Cr
1.4907 1.0426 6.3409 Cr
1.4907 1.9387 2.7175 Cr
1.9387 4.4720 4.5292 Cr
4.0240 1.4907 4.5292 Cr
4.4720 4.0240 2.7175 Cr
4.4720 4.9201 6.3409 Cr
4.9201 1.4907 0.9058 Cr
0.0000 0.0000 3.6234 As
0.0000 2.9813 5.4351 As
2.9813 0.0000 1.8117 As
2.9813 2.9813 0.0000 As
0.0000 0.0000 0.0000 O
0.0000 2.9813 1.8117 O
2.9813 0.0000 5.4351 O
2.9813 2.9813 3.6234 O

***

#Q is the most stable structure; the next one sits 0.436 eV/atom above it.

***

#P
CrAs3O | the Alexandria database | GGA+U | relaxed; N(E_F) = 3.7 states/eV/cell; SG = Pm-3m (221)
1.0
4.3309 0.0000 0.0000
0.0000 4.3309 0.0000
0.0000 0.0000 4.3309
Cr As O
1 3 1
Cartesian
0.0000 0.0000 0.0000 Cr
0.0000 2.1655 2.1655 As
2.1655 0.0000 2.1655 As
2.1655 2.1655 0.0000 As
2.1655 2.1655 2.1655 O

***

#Q
CrAs3O | the Alexandria database | GGA+U | relaxed; N(E_F) = 4.0 states/eV/cell; SG = Pm-3m (221)
1.0
4.5182 0.0000 0.0000
0.0000 4.5182 0.0000
0.0000 0.0000 4.5182
Cr As O
1 3 1
Cartesian
0.0000 0.0000 0.0000 Cr
0.0000 0.0000 2.2591 As
0.0000 2.2591 0.0000 As
2.2591 0.0000 0.0000 As
2.2591 2.2591 2.2591 O

***

#P is the most stable structure; the next one sits 0.277 eV/atom above it.

***

#P
Cr3AsO | the Alexandria database | GGA+U | relaxed; N(E_F) = 2.8 states/eV/cell; SG = Pm-3m (221)
1.0
4.8767 0.0000 0.0000
0.0000 4.8767 0.0000
0.0000 0.0000 4.8767
Cr As O
3 1 1
Cartesian
0.0000 0.0000 2.4384 Cr
0.0000 2.4384 0.0000 Cr
2.4384 0.0000 0.0000 Cr
0.0000 0.0000 0.0000 As
2.4384 2.4384 2.4384 O

***

#Q
Cr3AsO | the Alexandria database | GGA+U | relaxed; N(E_F) = 4.7 states/eV/cell; SG = Pm-3m (221)
1.0
4.1129 0.0000 0.0000
0.0000 4.1129 0.0000
0.0000 0.0000 4.1129
Cr As O
3 1 1
Cartesian
0.0000 0.0000 2.0564 Cr
0.0000 2.0564 0.0000 Cr
2.0564 0.0000 0.0000 Cr
2.0564 2.0564 2.0564 As
0.0000 0.0000 0.0000 O

***

#P is the most stable structure; the next one sits 0.111 eV/atom above it.

***

#P
CrAsP2O | the Alexandria database | GGA+U | relaxed; N(E_F) = 3.2 states/eV/cell; SG = P4/mmm (123)
1.0
4.7981 0.0000 0.0000
0.0000 4.7981 0.0000
0.0000 0.0000 3.5403
Cr As P O
1 1 2 1
Cartesian
0.0000 0.0000 0.0000 Cr
2.3991 2.3991 1.7701 As
0.0000 2.3991 0.0000 P
2.3991 0.0000 0.0000 P
0.0000 0.0000 1.7701 O

***

#Q
CrAsP2O | the Alexandria database | GGA+U | relaxed; N(E_F) = 2.8 states/eV/cell; SG = P4/mmm (123)
1.0
4.8741 0.0000 0.0000
0.0000 4.8741 0.0000
0.0000 0.0000 3.5956
Cr As P O
1 1 2 1
Cartesian
0.0000 0.0000 0.0000 Cr
2.4370 2.4370 1.7978 As
0.0000 2.4370 1.7978 P
2.4370 0.0000 1.7978 P
2.4370 2.4370 0.0000 O

***

#P is the most stable structure; the next one sits 0.203 eV/atom above it.